Material: SrNiP2O7
Method: DFT, PBEsol
State: optimized geometry

As for the formation energy (no corrections): -2.2322 eV per atom. As for the magnetic moment: 2.04 μB/f.u. The theoretical density comes out at 3.9 Mg/m³.

The space group is P2_1/c (No. 14) and the conventional cell measures 5.2539, 8.2127 and 13.6228 Å, with angles of 90.00, 112.63 and 90.00 degrees. The inequivalent atoms are Sr at (0.0029, 0.1558, 0.2178), Ni at (0.2996, 0.6471, 0.6142), P at (0.3281, 0.1946, 0.0160), P at (0.4092, 0.0371, 0.6620), O at (0.0984, 0.1768, 0.9054), O at (0.1813, 0.0630, 0.7028), O at (0.2726, 0.0968, 0.1020), O at (0.3120, 0.1154, 0.5451), O at (0.3219, 0.6236, 0.7674), O at (0.3798, 0.6633, 0.4797) and O at (0.4771, 0.6407, 0.1513).